Density functional theory data (GGA-PBE) for DyCoNiGe2 after structural relaxation.

```
data_DyCoNiGe2
_space_group_name_H-M_alt 'I -4 m 2'
_space_group_IT_number 119
_space_group_name_Hall 'I -4 -2'
_cell_length_a 4.014
_cell_length_b 4.014
_cell_length_c 10.004
_cell_angle_alpha 90.00
_cell_angle_beta 90.00
_cell_angle_gamma 90.00
loop_
_atom_site_label
_atom_site_type_symbol
_atom_site_fract_x
_atom_site_fract_y
_atom_site_fract_z
Dy1 Dy 0.000 0.000 0.000
Co1 Co 0.000 0.500 0.250
Ni1 Ni 0.000 0.500 0.750
Ge1 Ge 0.000 0.000 0.373
```

DOS at the Fermi energy   0.491 states/eV per atom
E_form   -0.64 eV per atom